DFT (GGA+U) results for crystalline KVSnO2 at its relaxed geometry.

The structure in CIF format:
```
data_KVSnO2
_cell_length_a 4.124
_cell_length_b 5.699
_cell_length_c 4.124
_cell_angle_alpha 90.00
_cell_angle_beta 90.00
_cell_angle_gamma 90.00
_space_group_name_H-M_alt 'P 1'
_space_group_IT_number 1
loop_
_space_group_symop_operation_xyz
'x,y,z'
loop_
_atom_site_label
_atom_site_fract_x
_atom_site_fract_y
_atom_site_fract_z
Sn1 0.500 0.500 0.500
V1 0.000 0.000 0.000
O1 0.000 0.000 0.500
O2 0.500 0.000 0.000
K1 0.000 0.500 0.000
```

- Polymorph energy (0 for the lowest one): 303 meV/atom
- SG: P4/mmm (123)
- E: -4.594 eV per atom